KFe2CoP: relaxed, PBE.

ΔH_f (0 K): 2.897 eV/atom
Space group: P4/mmm
D(E_F): 9.60 states/eV per cell

Structure (CIF):
```
data_KFe2CoP
_chemical_formula_sum 'K1 Fe2 Co1 P1'
_cell_length_a 4.1378
_cell_length_b 5.2140
_cell_length_c 4.1378
_cell_angle_alpha 90.00
_cell_angle_beta 90.00
_cell_angle_gamma 90.00
_space_group_name_H-M_alt 'P 1'
_space_group_IT_number 1
loop_
_space_group_symop_operation_xyz
'x,y,z'
loop_
_atom_site_label
_atom_site_type_symbol
_atom_site_fract_x
_atom_site_fract_y
_atom_site_fract_z
P1 P 0.0000 0.5000 0.0000
K1 K 0.0000 0.0000 0.0000
Co1 Co 0.5000 0.5000 0.5000
Fe1 Fe 0.0000 0.0000 0.5000
Fe2 Fe 0.5000 0.0000 0.0000
```


KFeCo2Rh: relaxed, PBE.

ΔH_f (0 K): 1.684 eV/atom
Space group: P4/mmm
D(E_F): 8.18 states/eV per cell

Structure (CIF):
```
data_KFeCo2Rh
_chemical_formula_sum 'K1 Fe1 Co2 Rh1'
_cell_length_a 4.6496
_cell_length_b 5.3372
_cell_length_c 4.6496
_cell_angle_alpha 90.00
_cell_angle_beta 90.00
_cell_angle_gamma 90.00
_space_group_name_H-M_alt 'P 1'
_space_group_IT_number 1
loop_
_space_group_symop_operation_xyz
'x,y,z'
loop_
_atom_site_label
_atom_site_type_symbol
_atom_site_fract_x
_atom_site_fract_y
_atom_site_fract_z
Co1 Co 0.0000 0.0000 0.5000
Co2 Co 0.5000 0.0000 0.0000
K1 K 0.0000 0.5000 0.0000
Rh1 Rh 0.0000 0.0000 0.0000
Fe1 Fe 0.5000 0.5000 0.5000
```


KFeCoSe3: relaxed, PBE.

Space group: P2_1/m
Uncorrected formation energy: -0.4913 eV per atom
D(E_F): 5.98 states/eV per cell

Structure (CIF):
```
data_KFeCoSe3
_chemical_formula_sum 'K2 Fe2 Co2 Se6'
_cell_length_a 3.6426
_cell_length_b 8.3736
_cell_length_c 9.5791
_cell_angle_alpha 114.88
_cell_angle_beta 90.00
_cell_angle_gamma 90.00
_space_group_name_H-M_alt 'P 1'
_space_group_IT_number 1
loop_
_space_group_symop_operation_xyz
'x,y,z'
loop_
_atom_site_label
_atom_site_type_symbol
_atom_site_fract_x
_atom_site_fract_y
_atom_site_fract_z
K1 K 0.2500 0.2356 0.2609
K2 K 0.7500 0.7644 0.7391
Fe1 Fe 0.2500 0.0739 0.5963
Fe2 Fe 0.7500 0.9261 0.4037
Co1 Co 0.2500 0.6724 0.1519
Co2 Co 0.7500 0.3276 0.8481
Se1 Se 0.7500 0.8636 0.1372
Se2 Se 0.2500 0.1364 0.8628
Se3 Se 0.2500 0.7488 0.4335
Se4 Se 0.7500 0.2512 0.5665
Se5 Se 0.7500 0.4734 0.1221
Se6 Se 0.2500 0.5266 0.8779
```


KFeCoTc2: relaxed, PBE.

ΔH_f (0 K): 2.031 eV/atom
Space group: P4/mmm
D(E_F): 12.14 states/eV per cell

Structure (CIF):
```
data_KFeCoTc2
_chemical_formula_sum 'K1 Fe1 Co1 Tc2'
_cell_length_a 4.3826
_cell_length_b 5.2243
_cell_length_c 4.3826
_cell_angle_alpha 90.00
_cell_angle_beta 90.00
_cell_angle_gamma 90.00
_space_group_name_H-M_alt 'P 1'
_space_group_IT_number 1
loop_
_space_group_symop_operation_xyz
'x,y,z'
loop_
_atom_site_label
_atom_site_type_symbol
_atom_site_fract_x
_atom_site_fract_y
_atom_site_fract_z
K1 K 0.0000 0.5000 0.0000
Co1 Co 0.5000 0.5000 0.5000
Tc1 Tc 0.0000 0.0000 0.5000
Tc2 Tc 0.5000 0.0000 0.0000
Fe1 Fe 0.0000 0.0000 0.0000
```


K2FeCoTe: relaxed, PBE.

Space group: P4/mmm
Uncorrected formation energy: 0.6436 eV per atom
D(E_F): 6.70 states/eV per cell

Structure (CIF):
```
data_K2FeCoTe
_chemical_formula_sum 'K2 Fe1 Co1 Te1'
_cell_length_a 6.3059
_cell_length_b 4.3414
_cell_length_c 6.3059
_cell_angle_alpha 90.00
_cell_angle_beta 90.00
_cell_angle_gamma 90.00
_space_group_name_H-M_alt 'P 1'
_space_group_IT_number 1
loop_
_space_group_symop_operation_xyz
'x,y,z'
loop_
_atom_site_label
_atom_site_type_symbol
_atom_site_fract_x
_atom_site_fract_y
_atom_site_fract_z
K1 K 0.0000 0.0000 0.5000
K2 K 0.5000 0.0000 0.0000
Te1 Te 0.5000 0.5000 0.5000
Co1 Co 0.0000 0.5000 0.0000
Fe1 Fe 0.0000 0.0000 0.0000
```


KTiFe2Co: relaxed, PBE.

ΔH_f (0 K): 2.632 eV/atom
Space group: P4/mmm
D(E_F): 11.87 states/eV per cell

Structure (CIF):
```
data_KTiFe2Co
_chemical_formula_sum 'K1 Ti1 Fe2 Co1'
_cell_length_a 4.0990
_cell_length_b 4.3712
_cell_length_c 4.0990
_cell_angle_alpha 90.00
_cell_angle_beta 90.00
_cell_angle_gamma 90.00
_space_group_name_H-M_alt 'P 1'
_space_group_IT_number 1
loop_
_space_group_symop_operation_xyz
'x,y,z'
loop_
_atom_site_label
_atom_site_type_symbol
_atom_site_fract_x
_atom_site_fract_y
_atom_site_fract_z
K1 K 0.0000 0.0000 0.0000
Co1 Co 0.5000 0.5000 0.5000
Fe1 Fe 0.0000 0.0000 0.5000
Fe2 Fe 0.5000 0.0000 0.0000
Ti1 Ti 0.0000 0.5000 0.0000
```


The following calculated total energy values (in eV per atom) correspond, in order, to the records above: -3.210, -4.541, -5.011, -5.448, -3.537, -3.973.